Entry from the Alexandria database: a geometry-optimized LiNiP3O9 structure (GGA+U).

For the energy above the lowest structure with this stoichiometry, the calculation gives 0.0000 eV/atom. The density of states at the Fermi level comes out at 0.00 states/eV/cell.

Cell and atoms, written as CIF:
```
data_LiNiP3O9
_symmetry_space_group_name_H-M 'P 21 21 21'
_symmetry_Int_Tables_number 19
_symmetry_space_group_name_Hall 'P 2ac 2ab'
_cell_length_a 8.448
_cell_length_b 8.540
_cell_length_c 8.892
_cell_angle_alpha 90.00
_cell_angle_beta 90.00
_cell_angle_gamma 90.00
loop_
_atom_site_label
_atom_site_type_symbol
_atom_site_fract_x
_atom_site_fract_y
_atom_site_fract_z
Li1 Li 0.129 0.147 0.156
Ni1 Ni 0.153 0.872 0.388
P1 P 0.028 0.679 0.676
P2 P 0.188 0.529 0.191
P3 P 0.200 0.184 0.570
O1 O 0.039 0.228 0.662
O2 O 0.088 0.393 0.140
O3 O 0.106 0.125 0.922
O4 O 0.130 0.628 0.320
O5 O 0.131 0.808 0.614
O6 O 0.138 0.535 0.730
O7 O 0.157 0.120 0.419
O8 O 0.192 0.915 0.167
O9 O 0.226 0.643 0.049
```